Computed, not measured: Y2CdH2 after structural relaxation at the PBE level of DFT.

The space group is I4/mmm (No. 139) and the conventional cell measures 4.8686, 4.8686 and 8.0169 Å, with angles of 90.00, 90.00 and 90.00 degrees. Symmetry generates all atoms from Y at (0.0000, 0.5000, 0.2500), Cd at (0.0000, 0.0000, 0.0000) and H at (0.0000, 0.0000, 0.2835).

The calculation puts the total energy at -4.26 eV/atom. The polymorph energy (0 for the lowest one) comes out at 213.7 kJ/mol of formula units. The density of states at the Fermi level comes out at 0.73 states/eV/atom.